Tm7Ni2Hg2: relaxed, PBE-GGA.

Summary:
E_tot ... -92.191 eV for the cell shown
DOS(E_F) ... 0.891 states/eV/atom

CIF file:
```
data_Tm7Ni2Hg2
_symmetry_space_group_name_H-M 'C m m m'
_symmetry_Int_Tables_number 65
_symmetry_space_group_name_Hall '-C 2 2'
_cell_length_a 7.7367
_cell_length_b 10.8082
_cell_length_c 6.9076
_cell_angle_alpha 90.00
_cell_angle_beta 90.00
_cell_angle_gamma 90.00
loop_
_atom_site_label
_atom_site_fract_x
_atom_site_fract_y
_atom_site_fract_z
Tm1 0.0000 0.0000 0.0000
Tm2 0.0000 0.5000 0.2379
Tm3 0.2500 0.2500 0.2462
Ni1 0.0000 0.2945 0.0000
Hg1 0.1855 0.0000 0.5000
```